A plane-wave DFT calculation with PBE was carried out for crystalline Tb5Rh2O12 at its relaxed geometry.

a b c (Å): 6.882 6.882 7.320
angles (deg): 105.49 105.49 51.27
Fractional positions:
Tb 0.000 0.000 0.000
Tb 0.302 0.302 0.140
Tb 0.309 0.309 0.670
Tb 0.691 0.691 0.330
Tb 0.698 0.698 0.860
Rh 0.247 0.753 0.500
Rh 0.753 0.247 0.500
O 0.000 0.000 0.318
O 0.000 0.000 0.682
O 0.097 0.598 0.926
O 0.099 0.570 0.416
O 0.402 0.903 0.074
O 0.430 0.901 0.584
O 0.500 0.500 0.312
O 0.500 0.500 0.688
O 0.570 0.099 0.416
O 0.598 0.097 0.926
O 0.901 0.430 0.584
O 0.903 0.402 0.074

Results
crystal system: monoclinic
raw formation energy: -2.61 eV per atom
calculated density: 7.67 Mg/m³
symmetry: No. 12